Computed, not measured: an optimized crystal structure of PuAl2CoO8 at the PBE+U level of DFT.

Cell and atoms, written as POSCAR:
```
PuAl2CoO8
1.0
5.633 0.354 0.000
-2.181 5.206 0.000
-1.726 -2.780 4.599
O Pu Al Co
8 1 2 1
direct
0.319 0.517 0.199 O
0.362 0.060 0.303 O
0.319 0.120 0.801 O
0.940 0.638 0.697 O
0.940 0.243 0.303 O
0.757 0.060 0.697 O
0.483 0.681 0.801 O
0.880 0.681 0.199 O
0.250 0.750 0.500 Pu
0.500 0.500 0.000 Al
0.750 0.250 0.500 Al
0.000 0.000 0.000 Co
```

theoretical density: 5816 kg/m3
calculated total energy: -89.4 eV/cell